Compound: La2PmTmSe5
Source: the Alexandria database
Functional: GGA-PBE
Structure: optimized geometry

Output
**Raw total energy**: -49.7 eV for the cell shown
**ΔE_f (raw)**: -1.469 eV per atom

Lattice parameters (Å, degrees): 5.069 5.069 10.901 90.00 90.00 90.00
Space group P4/mmm (No. 123)
Unique sites:
La  0.000  0.000  0.194
Pm  0.500  0.500  0.500
Tm  0.500  0.500  0.000
Se  0.000  0.000  0.500
Se  0.000  0.500  0.000
Se  0.500  0.500  0.250